First-principles (PBE) data for an optimized crystal structure of ZnPdO2F, as listed in Alexandria via LeMat-Bulk.

Computed properties:
Space-group type: P4/mmm, No. 123
E_tot (hartree per atom): -0.146
Size of the total moment (μB/cell): 2.64

a b c (Å): 3.926 3.926 3.941
angles (deg): 90.00 90.00 90.00
Site moments in Bohr magnetons follow the coordinates.
Fractional coordinates of all 5 atoms:
O 0.500 0.000 0.000  0.58
Zn 0.000 0.000 0.000  0.05
Pd 0.500 0.500 0.500  1.18
O 0.000 0.500 0.000  0.58
F 0.000 0.000 0.500  0.06

=====

First-principles (PBE) data for an optimized crystal structure of PmO2F2, as listed in Alexandria via LeMat-Bulk.

Computed properties:
Space-group type: P-1, No. 2
E_tot (hartree per atom): -0.233
Size of the total moment (μB/cell): 1.00

a b c (Å): 4.151 4.151 4.836
angles (deg): 95.32 95.23 59.92
Site moments in Bohr magnetons follow the coordinates.
Fractional coordinates of all 5 atoms:
F 0.342 0.343 0.078  0.00
Pm 0.000 0.000 0.000  -0.01
F 0.658 0.657 0.922  0.00
O 0.096 0.094 0.509  0.41
O 0.904 0.906 0.491  0.41

=====

First-principles (PBE) data for an optimized crystal structure of Pm2O2F, as listed in Alexandria via LeMat-Bulk.

Computed properties:
Space-group type: P-3m1, No. 164
E_tot (hartree per atom): -0.277
Size of the total moment (μB/cell): 0.00

a b c (Å): 4.123 4.123 5.058
angles (deg): 90.00 90.00 120.00
Fractional coordinates of all 5 atoms:
O 0.333 0.667 0.733
O 0.667 0.333 0.267
Pm 0.667 0.333 0.756
F 0.000 0.000 0.000
Pm 0.333 0.667 0.244

=====

First-principles (PBE) data for an optimized crystal structure of PmOF, as listed in Alexandria via LeMat-Bulk.

Computed properties:
Space-group type: P4/nmm, No. 129
E_tot (hartree per atom): -0.277
Size of the total moment (μB/cell): 0.00

a b c (Å): 3.537 3.538 7.209
angles (deg): 90.00 119.35 90.00
Fractional coordinates of all 6 atoms:
O 0.889 0.250 0.639
Pm 0.518 0.250 0.268
O 0.111 0.750 0.361
Pm 0.482 0.750 0.732
F 0.750 0.250 0.000
F 0.250 0.750 0.000

=====

First-principles (PBE) data for an optimized crystal structure of PmOF, as listed in Alexandria via LeMat-Bulk.

Computed properties:
Space-group type: P3m1, No. 156
E_tot (hartree per atom): -0.271
Size of the total moment (μB/cell): 0.00

a b c (Å): 4.921 3.697 3.697
angles (deg): 120.00 90.00 90.00
Fractional coordinates of all 3 atoms:
F 0.552 0.667 0.333
O 0.148 0.000 0.000
Pm 0.300 0.333 0.667

=====

First-principles (PBE) data for an optimized crystal structure of Pm2O2F, as listed in Alexandria via LeMat-Bulk.

Computed properties:
Space-group type: C2/c, No. 15
E_tot (hartree per atom): -0.273
Size of the total moment (μB/cell): 0.00

a b c (Å): 5.656 6.903 6.574
angles (deg): 105.13 96.20 127.86
Fractional coordinates of all 10 atoms:
O 0.000 0.250 0.500
F 0.702 0.952 0.905
O 0.000 0.750 0.500
O 0.710 0.460 0.919
Pm 0.169 0.160 0.778
F 0.298 0.048 0.095
Pm 0.891 0.382 0.222
Pm 0.831 0.840 0.222
O 0.290 0.540 0.081
Pm 0.109 0.618 0.778